## Tl2TcP (PBE-GGA)

Data for a relaxed structure of Tl2TcP.

E_form ... 85 kJ per mole of atoms
Magnetization ... 1.1 μB per cell
E above lowest polymorph ... 0.877 eV/atom
DOS at the Fermi energy ... 2.90 states/eV/f.u.

Unit cell a=9.877 b=9.877 c=9.877 alpha=18.28 beta=18.28 gamma=18.28
Fractional positions:
Tc (0.000, 0.000, 0.000)
Tl (0.254, 0.254, 0.254)
P (0.500, 0.500, 0.500)
Tl (0.746, 0.746, 0.746)

***

## Tl2TcP (PBE-GGA)

Data for a relaxed structure of Tl2TcP.

E_form ... 80 kJ per mole of atoms
Magnetization ... 1.2 μB per cell
E above lowest polymorph ... 0.823 eV/atom
DOS at the Fermi energy ... 3.36 states/eV/f.u.

Unit cell a=5.196 b=5.196 c=3.097 alpha=90.00 beta=90.00 gamma=106.08
Fractional positions:
Tc (0.500, 0.500, 0.500)
P (0.000, 0.000, 0.500)
Tl (0.500, 0.000, 0.000)
Tl (0.000, 0.500, 0.000)

***

## Tl2TcP (PBE-GGA)

Data for a relaxed structure of Tl2TcP.

E_form ... 81 kJ per mole of atoms
Magnetization ... 1.8 μB per cell
E above lowest polymorph ... 0.832 eV/atom
DOS at the Fermi energy ... 2.97 states/eV/f.u.

Unit cell a=5.435 b=5.435 c=5.435 alpha=134.10 beta=134.10 gamma=66.93
Fractional positions:
Tl (0.000, 0.000, 0.000)
P (0.500, 0.500, 0.000)
Tc (0.750, 0.250, 0.500)
Tl (0.250, 0.750, 0.500)

***

## Tl2Tc2P (PBE-GGA)

Data for a relaxed structure of Tl2Tc2P.

E_form ... 76 kJ per mole of atoms
Magnetization ... 0.0 μB per cell
DOS at the Fermi energy ... 4.85 states/eV/f.u.

Unit cell a=8.992 b=8.992 c=8.992 alpha=157.53 beta=157.53 gamma=31.99
Fractional positions:
Tc (0.750, 0.250, 0.500)
Tc (0.250, 0.750, 0.500)
Tl (0.602, 0.602, 0.000)
P (0.000, 0.000, 0.000)
Tl (0.398, 0.398, 0.000)